# 1
Material: Nb2IrPb
Method: DFT, PBE-GGA
State: optimized geometry

```
data_Nb2IrPb
_chemical_formula_sum 'Nb8 Ir4 Pb4'
_space_group_name_H-M_alt 'P 1'
_space_group_IT_number 1
_space_group_name_Hall 'P 1'
_cell_length_a 6.6617
_cell_length_b 6.6617
_cell_length_c 6.6617
_cell_angle_alpha 90.00
_cell_angle_beta 90.00
_cell_angle_gamma 90.00
loop_
_atom_site_label
_atom_site_fract_x
_atom_site_fract_y
_atom_site_fract_z
Nb1 0.0000 0.0000 0.0000
Nb2 0.0000 0.5000 0.5000
Nb3 0.2500 0.2500 0.2500
Nb4 0.2500 0.7500 0.7500
Nb5 0.5000 0.0000 0.5000
Nb6 0.5000 0.5000 0.0000
Nb7 0.7500 0.2500 0.7500
Nb8 0.7500 0.7500 0.2500
Ir1 0.2500 0.2500 0.7500
Ir2 0.2500 0.7500 0.2500
Ir3 0.7500 0.2500 0.2500
Ir4 0.7500 0.7500 0.7500
Pb1 0.0000 0.0000 0.5000
Pb2 0.0000 0.5000 0.0000
Pb3 0.5000 0.0000 0.0000
Pb4 0.5000 0.5000 0.5000
```

Calculated values
Size of the total moment, μB per cell: 1.81
Symmetry: No. 216

=====

# 2
Material: NaAlNiTe3
Method: DFT, PBE-GGA
State: optimized geometry

```
data_NaAlNiTe3
_chemical_formula_sum 'Na2 Al2 Ni2 Te6'
_space_group_name_H-M_alt 'P 1'
_space_group_IT_number 1
_space_group_name_Hall 'P 1'
_cell_length_a 8.5011
_cell_length_b 4.0640
_cell_length_c 9.5496
_cell_angle_alpha 90.00
_cell_angle_beta 111.11
_cell_angle_gamma 90.00
loop_
_atom_site_label
_atom_site_fract_x
_atom_site_fract_y
_atom_site_fract_z
Na1 0.0054 0.2500 0.2820
Na2 0.9946 0.7500 0.7180
Al1 0.4224 0.2500 0.1475
Al2 0.5776 0.7500 0.8525
Ni1 0.4870 0.7500 0.3155
Ni2 0.5130 0.2500 0.6845
Te1 0.1812 0.7500 0.1192
Te2 0.3159 0.2500 0.8396
Te3 0.3517 0.7500 0.5242
Te4 0.6483 0.2500 0.4758
Te5 0.6841 0.7500 0.1604
Te6 0.8188 0.2500 0.8808
```

Calculated values
Size of the total moment, μB per cell: 0.00
Energy relative to the lowest polymorph listed for this composition, eV/atom: 0.000
Symmetry: No. 11

=====

# 3
Material: SrFeCuTe3
Method: DFT, PBE-GGA
State: optimized geometry

```
data_SrFeCuTe3
_chemical_formula_sum 'Sr2 Fe2 Cu2 Te6'
_space_group_name_H-M_alt 'P 1'
_space_group_IT_number 1
_space_group_name_Hall 'P 1'
_cell_length_a 7.9777
_cell_length_b 4.1131
_cell_length_c 9.3865
_cell_angle_alpha 90.00
_cell_angle_beta 104.01
_cell_angle_gamma 90.00
loop_
_atom_site_label
_atom_site_fract_x
_atom_site_fract_y
_atom_site_fract_z
Sr1 0.1987 0.2500 0.2646
Sr2 0.8013 0.7500 0.7354
Fe1 0.3337 0.7500 0.8469
Fe2 0.6663 0.2500 0.1531
Cu1 0.0662 0.2500 0.5784
Cu2 0.9338 0.7500 0.4216
Te1 0.1279 0.2500 0.8730
Te2 0.2693 0.7500 0.5578
Te3 0.4554 0.7500 0.1288
Te4 0.5446 0.2500 0.8712
Te5 0.7307 0.2500 0.4422
Te6 0.8721 0.7500 0.1270
```

Calculated values
Size of the total moment, μB per cell: 1.61
Energy relative to the lowest polymorph listed for this composition, eV/atom: 0.000
Symmetry: No. 11

=====

# 4
Material: NdHoSbI2
Method: DFT, PBE-GGA
State: optimized geometry

```
data_NdHoSbI2
_chemical_formula_sum 'Nd1 Ho1 Sb1 I2'
_space_group_name_H-M_alt 'P 1'
_space_group_IT_number 1
_space_group_name_Hall 'P 1'
_cell_length_a 4.3848
_cell_length_b 4.3848
_cell_length_c 11.3438
_cell_angle_alpha 90.00
_cell_angle_beta 90.00
_cell_angle_gamma 120.00
loop_
_atom_site_label
_atom_site_fract_x
_atom_site_fract_y
_atom_site_fract_z
Nd1 0.0000 0.0000 0.0000
Ho1 0.3333 0.6667 0.3030
Sb1 0.6667 0.3333 0.1599
I1 0.0000 0.0000 0.4714
I2 0.3333 0.6667 0.8208
```

Calculated values
Size of the total moment, μB per cell: 0.00
Symmetry: No. 156

=====

# 5
Material: Li4Ga2PdAu
Method: DFT, PBE-GGA
State: optimized geometry

```
data_Li4Ga2PdAu
_chemical_formula_sum 'Li4 Ga2 Pd1 Au1'
_space_group_name_H-M_alt 'P 1'
_space_group_IT_number 1
_space_group_name_Hall 'P 1'
_cell_length_a 4.3335
_cell_length_b 4.3335
_cell_length_c 6.1299
_cell_angle_alpha 90.00
_cell_angle_beta 90.00
_cell_angle_gamma 90.00
loop_
_atom_site_label
_atom_site_fract_x
_atom_site_fract_y
_atom_site_fract_z
Li1 0.0000 0.0000 0.0000
Li2 0.0000 0.5000 0.7474
Li3 0.5000 0.0000 0.2526
Li4 0.5000 0.5000 0.5000
Ga1 0.0000 0.5000 0.2646
Ga2 0.5000 0.0000 0.7354
Pd1 0.0000 0.0000 0.5000
Au1 0.5000 0.5000 0.0000
```

Calculated values
Symmetry: No. 115

=====

# 6
Material: Nd2ErNiSn3Ir2
Method: DFT, PBE-GGA
State: optimized geometry

```
data_Nd2ErNiSn3Ir2
_chemical_formula_sum 'Nd2 Er1 Ni1 Sn3 Ir2'
_space_group_name_H-M_alt 'P 1'
_space_group_IT_number 1
_space_group_name_Hall 'P 1'
_cell_length_a 3.9986
_cell_length_b 7.4826
_cell_length_c 7.4826
_cell_angle_alpha 119.57
_cell_angle_beta 90.00
_cell_angle_gamma 90.00
loop_
_atom_site_label
_atom_site_fract_x
_atom_site_fract_y
_atom_site_fract_z
Nd1 0.0000 0.2052 0.7948
Nd2 0.0000 0.7948 0.2052
Er1 0.0000 0.3858 0.3858
Ni1 0.0000 0.7889 0.7889
Sn1 0.5000 0.0449 0.0449
Sn2 0.5000 0.5447 0.7914
Sn3 0.5000 0.7914 0.5447
Ir1 0.5000 0.1360 0.4574
Ir2 0.5000 0.4574 0.1360
```

Calculated values
Size of the total moment, μB per cell: 0.00
Symmetry: No. 38

=====

DFT total energy: -7.92 -3.76 -4.33 -4.60 -3.29 -6.23 (eV per atom)